Compound: Co2SiTe
Source: Alexandria via LeMat-Bulk
Functional: meta-GGA SCAN
Structure: single point on PBEsol structure

Computed properties:
Calculated volume (Å³ per atom): 13.56
Formation energy without anion corrections (eV per atom): 0.23

Unit cell a=2.8780 b=2.8780 c=6.5475 alpha=90.00 beta=90.00 gamma=90.00
With the nearest neighbours (Å) after each atom.
Atoms (fractional coordinates):
Co: 0.0000 0.0000 0.1924  4 Si 2.39, 1 Co 2.52
Co: 0.0000 0.0000 0.8076  4 Si 2.39, 1 Co 2.52
Si: 0.5000 0.5000 0.0000  8 Co 2.39
Te: 0.5000 0.5000 0.5000  8 Co 2.86, 4 Te 2.88